# Nb2FePdN

Nb2FePdN after structural relaxation (PBE, Alexandria).

a b c (Å): 4.271 4.271 3.806
angles (deg): 90.00 90.00 90.00
Space group P4/mmm (No. 123)
One atom of each set of equivalent atoms:
Nb  0.000  0.500  0.000 (multiplicity 2)
Fe  0.000  0.000  0.500 (multiplicity 1)
Pd  0.500  0.500  0.500 (multiplicity 1)
N  0.000  0.000  0.000 (multiplicity 1)

Output
* formation energy from raw total energies: -2.25 eV/f.u.
* V: 13.88 A^3/atom

***

# Pm2NbFeN5

Pm2NbFeN5 after structural relaxation (PBE, Alexandria).

a b c (Å): 3.247 14.262 10.065
angles (deg): 90.00 90.00 90.00
Space group Cmc2_1 (No. 36)
One atom of each set of equivalent atoms:
Pm  0.000  0.118  0.000 (multiplicity 4)
Pm  0.000  0.125  0.630 (multiplicity 4)
Nb  0.000  0.206  0.329 (multiplicity 4)
Fe  0.000  0.451  0.751 (multiplicity 4)
N  0.000  0.029  0.320 (multiplicity 4)
N  0.000  0.302  0.966 (multiplicity 4)
N  0.000  0.325  0.684 (multiplicity 4)
N  0.000  0.339  0.312 (multiplicity 4)
N  0.000  0.499  0.588 (multiplicity 4)

Output
* formation energy from raw total energies: -8.07 eV/f.u.
* V: 12.95 A^3/atom

***

# PmNb2FeN4

PmNb2FeN4 after structural relaxation (PBE, Alexandria).

a b c (Å): 3.138 10.910 10.868
angles (deg): 90.00 90.00 90.00
Space group Cmcm (No. 63)
One atom of each set of equivalent atoms:
Pm  0.000  0.107  0.250 (multiplicity 4)
Nb  0.000  0.369  0.057 (multiplicity 8)
Fe  0.000  0.158  0.750 (multiplicity 4)
N  0.000  0.000  0.000 (multiplicity 4)
N  0.000  0.272  0.614 (multiplicity 8)
N  0.000  0.442  0.250 (multiplicity 4)

Output
* formation energy from raw total energies: -7.51 eV/f.u.
* V: 11.63 A^3/atom

***

# PrNb2FeN4

PrNb2FeN4 after structural relaxation (PBE, Alexandria).

a b c (Å): 3.160 10.991 10.892
angles (deg): 90.00 90.00 90.00
Space group Cmcm (No. 63)
One atom of each set of equivalent atoms:
Pr  0.000  0.105  0.250 (multiplicity 4)
Nb  0.000  0.368  0.057 (multiplicity 8)
Fe  0.000  0.159  0.750 (multiplicity 4)
N  0.000  0.000  0.000 (multiplicity 4)
N  0.000  0.270  0.612 (multiplicity 8)
N  0.000  0.438  0.250 (multiplicity 4)

Output
* formation energy from raw total energies: -7.19 eV/f.u.
* V: 11.82 A^3/atom

***

# Pu2NbFeN5

Pu2NbFeN5 after structural relaxation (PBE, Alexandria).

a b c (Å): 3.196 12.840 10.052
angles (deg): 90.00 90.00 90.00
Space group Cmc2_1 (No. 36)
One atom of each set of equivalent atoms:
Pu  0.000  0.104  0.000 (multiplicity 4)
Pu  0.000  0.145  0.614 (multiplicity 4)
Nb  0.000  0.203  0.320 (multiplicity 4)
Fe  0.000  0.482  0.769 (multiplicity 4)
N  0.000  0.046  0.372 (multiplicity 4)
N  0.000  0.285  0.967 (multiplicity 4)
N  0.000  0.325  0.676 (multiplicity 4)
N  0.000  0.368  0.304 (multiplicity 4)
N  0.000  0.485  0.089 (multiplicity 4)

Output
* formation energy from raw total energies: -7.61 eV/f.u.
* V: 11.46 A^3/atom

***

# RbNbFe2N

RbNbFe2N after structural relaxation (PBE, Alexandria).

a b c (Å): 4.542 4.542 7.592
angles (deg): 90.00 90.00 90.00
Space group P4/mmm (No. 123)
One atom of each set of equivalent atoms:
Rb  0.000  0.000  0.000 (multiplicity 1)
Nb  0.000  0.000  0.500 (multiplicity 1)
Fe  0.000  0.500  0.500 (multiplicity 2)
N  0.500  0.500  0.000 (multiplicity 1)

Output
* formation energy from raw total energies: 11.08 eV/f.u.
* V: 31.32 A^3/atom

***

Energy, record by record: -8.87; -8.64; -9.27; -9.23; -10.72; -5.04 eV/atom